A geometry-optimized TbNd3Zn4 structure. Source: Alexandria via LeMat-Bulk, functional GGA-PBE.

```
data_TbNd3Zn4
_chemical_formula_sum 'Tb1 Nd3 Zn4'
_symmetry_space_group_name_H-M 'P 1'
_symmetry_Int_Tables_number 1
_cell_length_a 3.656
_cell_length_b 3.656
_cell_length_c 14.677
_cell_angle_alpha 90.00
_cell_angle_beta 90.00
_cell_angle_gamma 90.00
loop_
_symmetry_equiv_pos_as_xyz
'x,y,z'
loop_
_atom_site_label
_atom_site_type_symbol
_atom_site_fract_x
_atom_site_fract_y
_atom_site_fract_z
Tb1 Tb 0.000 0.000 0.000
Nd1 Nd 0.000 0.000 0.246
Nd2 Nd 0.000 0.000 0.500
Nd3 Nd 0.000 0.000 0.754
Zn1 Zn 0.500 0.500 0.115
Zn2 Zn 0.500 0.500 0.375
Zn3 Zn 0.500 0.500 0.625
Zn4 Zn 0.500 0.500 0.885
```

Results
- DFT total energy (eV per atom) = -3.314
- crystal system = tetragonal
- Fermi-level density of states (states/eV/cell) = 10.4